VASP calculation (PBE-GGA) on a relaxed CsCaF3 crystal.

```
CsCaF3
1.0
3.560 -2.056 0.000
0.000 4.111 0.000
0.000 0.000 15.658
Cs Ca F
2 2 6
direct
0.000 0.000 0.000
0.000 0.000 0.500
0.333 0.667 0.750
0.667 0.333 0.250
0.000 0.000 0.250
0.000 0.000 0.750
0.333 0.667 0.888
0.333 0.667 0.612
0.667 0.333 0.388
0.667 0.333 0.112
```

E_form (uncorrected): -3311 meV/atom
Symmetry: P6_3/mmc (194)
DOS at the Fermi energy: 0.00 states/eV per cell
Volume: 22.920 Å³/atom